Record 1
This record from Alexandria describes a relaxed structure of LiSbPt2. The functional is PBEsol.

Output
The value obtained for the raw formation energy is -0.4981 eV/atom.

Cell lengths 3.8949, 3.8949, 8.2137 Å; angles 90.00, 90.00, 90.00 degrees
Last column: nearest neighbours and their distance in Å.
Space group I-4m2 (No. 119)
One atom of each set of equivalent atoms:
Li 0.0000 0.0000 0.0000 (multiplicity 2)  8 Pt 2.75-2.83, 4 Sb 2.83
Sb 0.0000 0.5000 0.2500 (multiplicity 2)  8 Pt 2.75-2.83, 4 Li 2.83
Pt 0.0000 0.0000 0.5000 (multiplicity 2)  4 Li 2.75, 4 Sb 2.83, 4 Pt 2.83
Pt 0.0000 0.5000 0.7500 (multiplicity 2)  4 Sb 2.75, 4 Li 2.83, 4 Pt 2.83

Record 2
This record from Alexandria describes a relaxed structure of Re3PS. The functional is PBEsol.

Output
The value obtained for the raw formation energy is 1.4359 eV/atom.

Cell lengths 4.3564, 4.3564, 4.3564 Å; angles 90.00, 90.00, 90.00 degrees
Last column: nearest neighbours and their distance in Å.
Space group Pm-3m (No. 221)
One atom of each set of equivalent atoms:
Re 0.0000 0.0000 0.5000 (multiplicity 3)  2 P 2.18
P 0.0000 0.0000 0.0000 (multiplicity 1)  6 Re 2.18
S 0.5000 0.5000 0.5000 (multiplicity 1)  12 Re 3.08